Record 1
# Pm3PrDy8

A relaxed structure of Pm3PrDy8 (GGA-PBE, the Alexandria database). Values from VASP.

```
&SYSTEM
  ibrav = 0, nat = 12, ntyp = 3
/
ATOMIC_SPECIES
Dy 162.50 Dy.upf
Pm 145.00 Pm.upf
Pr 140.91 Pr.upf
ATOMIC_POSITIONS crystal
Dy 0.834 0.082 0.252
Dy 0.170 0.918 0.752
Dy 0.499 0.667 0.831
Dy 0.500 0.168 0.331
Dy 0.163 0.832 0.331
Dy 0.164 0.333 0.831
Dy 0.834 0.581 0.752
Dy 0.170 0.419 0.253
Pm 0.835 0.500 0.335
Pm 0.498 0.750 0.248
Pm 0.498 0.250 0.749
Pr 0.835 0.000 0.835
CELL_PARAMETERS angstrom
3.939 3.437 -6.721
0.561 -8.278 -1.968
-7.982 -0.404 2.939
```

The formation energy comes out at 21 meV per atom. The total magnetization comes out at 0.00 μB/cell. As for the crystal system: monoclinic. Its space-group type is C2, No. 5. The calculation puts the calculated density at 7.9 g/cm³.



Record 2
# PmPr12Dy6

A relaxed structure of PmPr12Dy6 (GGA-PBE, the Alexandria database). Values from VASP.

```
&SYSTEM
  ibrav = 0, nat = 19, ntyp = 3
/
ATOMIC_SPECIES
Dy 162.50 Dy.upf
Pr 140.91 Pr.upf
Pm 145.00 Pm.upf
ATOMIC_POSITIONS crystal
Dy 0.097 0.097 0.664
Dy 0.903 0.903 0.336
Dy 0.336 0.903 0.903
Dy 0.097 0.664 0.097
Dy 0.664 0.097 0.097
Dy 0.903 0.336 0.903
Pr 0.083 0.353 0.353
Pr 0.500 0.759 0.241
Pr 0.647 0.647 0.917
Pr 0.353 0.353 0.083
Pr 0.917 0.647 0.647
Pr 0.647 0.917 0.647
Pr 0.353 0.083 0.353
Pr 0.759 0.241 0.500
Pr 0.241 0.759 0.500
Pr 0.241 0.500 0.759
Pr 0.759 0.500 0.241
Pr 0.500 0.241 0.759
Pm 0.000 0.000 0.000
CELL_PARAMETERS angstrom
8.835 -0.223 -1.272
-1.437 8.720 -1.272
-0.194 -0.223 8.924
```

The formation energy comes out at 187 meV per atom. The total magnetization comes out at 0.00 μB/cell. As for the crystal system: trigonal. Its space-group type is R-3m, No. 166. The calculation puts the calculated density at 6.9 g/cm³.



Record 3
# Pm3Pr2Dy6

A relaxed structure of Pm3Pr2Dy6 (GGA-PBE, the Alexandria database). Values from VASP.

```
&SYSTEM
  ibrav = 0, nat = 11, ntyp = 3
/
ATOMIC_SPECIES
Dy 162.50 Dy.upf
Pm 145.00 Pm.upf
Pr 140.91 Pr.upf
ATOMIC_POSITIONS crystal
Dy 0.878 0.378 0.757
Dy 0.306 0.306 0.612
Dy 0.378 0.878 0.757
Dy 0.622 0.122 0.243
Dy 0.694 0.694 0.388
Dy 0.122 0.622 0.243
Pm 0.797 0.797 0.594
Pm 0.203 0.203 0.406
Pm 0.000 0.000 0.000
Pr 0.454 0.454 0.907
Pr 0.546 0.546 0.093
CELL_PARAMETERS angstrom
4.786 0.000 0.000
0.000 4.786 0.000
-2.393 -2.393 16.718
```

The formation energy comes out at 256 meV per atom. The total magnetization comes out at 0.00 μB/cell. As for the crystal system: tetragonal. Its space-group type is I4/mmm, No. 139. The calculation puts the calculated density at 7.3 g/cm³.



Record 4
# PmPr7Dy3

A relaxed structure of PmPr7Dy3 (GGA-PBE, the Alexandria database). Values from VASP.

```
&SYSTEM
  ibrav = 0, nat = 11, ntyp = 3
/
ATOMIC_SPECIES
Pr 140.91 Pr.upf
Dy 162.50 Dy.upf
Pm 145.00 Pm.upf
ATOMIC_POSITIONS crystal
Pr 0.261 0.423 0.073
Pr 0.739 0.577 0.927
Pr 0.786 0.235 0.235
Pr 0.261 0.073 0.423
Pr 0.739 0.927 0.577
Pr 0.000 0.500 0.500
Pr 0.214 0.765 0.765
Dy 0.500 0.000 0.000
Dy 0.000 0.168 0.832
Dy 0.000 0.832 0.168
Pm 0.500 0.500 0.500
CELL_PARAMETERS angstrom
6.476 0.055 0.479
0.480 7.783 1.085
0.044 0.017 7.872
```

The formation energy comes out at 223 meV per atom. The total magnetization comes out at 0.00 μB/cell. As for the crystal system: monoclinic. Its space-group type is C2/m, No. 12. The calculation puts the calculated density at 6.8 g/cm³.



Record 5
# Pm10PrDy4

A relaxed structure of Pm10PrDy4 (GGA-PBE, the Alexandria database). Values from VASP.

```
&SYSTEM
  ibrav = 0, nat = 15, ntyp = 3
/
ATOMIC_SPECIES
Dy 162.50 Dy.upf
Pr 140.91 Pr.upf
Pm 145.00 Pm.upf
ATOMIC_POSITIONS crystal
Dy 0.558 0.663 0.221
Dy 0.221 0.221 0.337
Dy 0.779 0.779 0.663
Dy 0.442 0.337 0.779
Pr 0.000 0.000 0.000
Pm 0.711 0.343 0.893
Pm 0.054 0.893 0.657
Pm 0.289 0.657 0.107
Pm 0.053 0.343 0.893
Pm 0.947 0.657 0.107
Pm 0.396 0.893 0.657
Pm 0.750 0.500 0.500
Pm 0.604 0.107 0.343
Pm 0.250 0.500 0.500
Pm 0.946 0.107 0.343
CELL_PARAMETERS angstrom
-2.764 9.214 -5.013
-7.310 1.569 -4.822
-4.752 6.757 3.303
```

The formation energy comes out at 439 meV per atom. The total magnetization comes out at 0.00 μB/cell. As for the crystal system: tetragonal. Its space-group type is I4/m, No. 87. The calculation puts the calculated density at 6.9 g/cm³.



Record 6
# Pm5Pr5Dy

A relaxed structure of Pm5Pr5Dy (GGA-PBE, the Alexandria database). Values from VASP.

```
&SYSTEM
  ibrav = 0, nat = 11, ntyp = 3
/
ATOMIC_SPECIES
Pm 145.00 Pm.upf
Pr 140.91 Pr.upf
Dy 162.50 Dy.upf
ATOMIC_POSITIONS crystal
Pm 0.667 0.333 0.841
Pm 0.333 0.667 0.683
Pm 0.667 0.333 0.159
Pm 0.000 0.000 0.000
Pm 0.333 0.667 0.317
Pr 0.830 0.170 0.500
Pr 0.830 0.660 0.500
Pr 0.000 0.000 0.737
Pr 0.340 0.170 0.500
Pr 0.000 0.000 0.263
Dy 0.333 0.667 0.000
CELL_PARAMETERS angstrom
6.267 0.000 0.000
-3.134 5.428 0.000
0.000 0.000 11.663
```

The formation energy comes out at 307 meV per atom. The total magnetization comes out at 0.00 μB/cell. As for the crystal system: hexagonal. Its space-group type is P-6m2, No. 187. The calculation puts the calculated density at 6.7 g/cm³.



Record 7
# PmPrDy4

A relaxed structure of PmPrDy4 (GGA-PBE, the Alexandria database). Values from VASP.

```
&SYSTEM
  ibrav = 0, nat = 12, ntyp = 3
/
ATOMIC_SPECIES
Pr 140.91 Pr.upf
Dy 162.50 Dy.upf
Pm 145.00 Pm.upf
ATOMIC_POSITIONS crystal
Pr 0.803 0.053 0.105
Pr 0.197 0.947 0.895
Dy 0.888 0.138 0.774
Dy 0.210 0.460 0.418
Dy 0.613 0.363 0.226
Dy 0.112 0.862 0.226
Dy 0.790 0.540 0.582
Dy 0.387 0.637 0.774
Dy 0.291 0.041 0.582
Dy 0.709 0.959 0.418
Pm 0.698 0.448 0.895
Pm 0.302 0.552 0.105
CELL_PARAMETERS angstrom
-1.510 1.433 5.482
-2.417 -7.240 -5.044
9.703 -2.072 3.213
```

The formation energy comes out at 184 meV per atom. The total magnetization comes out at 0.00 μB/cell. As for the crystal system: orthorhombic. Its space-group type is Cmcm, No. 63. The calculation puts the calculated density at 7.7 g/cm³.



Record 8
# Pm2PrDy2

A relaxed structure of Pm2PrDy2 (GGA-PBE, the Alexandria database). Values from VASP.

```
&SYSTEM
  ibrav = 0, nat = 10, ntyp = 3
/
ATOMIC_SPECIES
Pm 145.00 Pm.upf
Pr 140.91 Pr.upf
Dy 162.50 Dy.upf
ATOMIC_POSITIONS crystal
Pm 0.000 0.372 0.872
Pm 0.000 0.628 0.128
Pm 0.000 0.872 0.628
Pm 0.000 0.128 0.372
Pr 0.000 0.500 0.500
Pr 0.000 0.000 0.000
Dy 0.500 0.170 0.670
Dy 0.500 0.830 0.330
Dy 0.500 0.330 0.170
Dy 0.500 0.670 0.830
CELL_PARAMETERS angstrom
-2.277 -1.595 2.627
7.009 -5.805 2.551
2.923 6.333 6.379
```

The formation energy comes out at 85 meV per atom. The total magnetization comes out at 0.00 μB/cell. As for the crystal system: tetragonal. Its space-group type is P4/mbm, No. 127. The calculation puts the calculated density at 7.3 g/cm³.